Material: Cs3NdAu2I9
Method: DFT, GGA-PBE
State: optimized geometry

a b c (Å): 8.541 8.541 10.555
angles (deg): 90.00 90.00 120.00
Fractional positions:
Cs1 0.000 0.000 0.000
Cs2 0.333 0.667 0.676
Cs3 0.667 0.333 0.324
Nd1 0.000 0.000 0.500
Au1 0.333 0.667 0.141
Au2 0.667 0.333 0.859
I1 0.000 0.500 0.000
I2 0.171 0.343 0.329
I3 0.171 0.829 0.329
I4 0.343 0.171 0.671
I5 0.500 0.000 0.000
I6 0.500 0.500 0.000
I7 0.657 0.829 0.329
I8 0.829 0.171 0.671
I9 0.829 0.657 0.671

Theoretical density   5.18 g/cm3
Raw formation energy   -0.972 eV per atom